CsZnIr3 | PBEsol | relaxed

Cell and atoms, written as POSCAR:
```
CsZnIr3
1.0
4.6858 0.0000 0.0000
0.0000 4.6858 0.0000
0.0000 0.0000 4.6858
Cs Zn Ir
1 1 3
Direct
0.0000 0.0000 0.0000
0.5000 0.5000 0.5000
0.0000 0.5000 0.5000
0.5000 0.0000 0.5000
0.5000 0.5000 0.0000
```

Calculated values
- E_tot: -0.3438 Ry/atom
- ΔH_f (0 K): 1.722 eV per atom
- Crystal system: cubic
- Mass density: 12.5 g/cm3